{"formula": "Zr2Si4Ir5", "functional": "PBE-GGA", "state": "optimized geometry", "e_form_raw_ev_per_atom": -0.67, "magmom_total_mub_per_atom": 0.00, "lattice": [[5.4652, 0.0000, 0.0000], [2.7326, 4.6454, 0.0000], [2.7326, 0.0000, 7.1178]], "species": ["Zr", "Si", "Zr", "Si", "Si", "Ir", "Ir", "Si", "Ir", "Ir", "Ir"], "frac_coords": [[0.1231, 0.0000, 0.7538], [0.5143, 0.7031, 0.2682], [0.8769, 0.0000, 0.2462], [0.7826, 0.7031, 0.7318], [0.2174, 0.2969, 0.2682], [0.2500, 0.5000, 0.5000], [0.5000, 0.0000, 0.0000], [0.4857, 0.2969, 0.7318], [0.5000, 0.5000, 0.0000], [0.0000, 0.5000, 0.0000], [0.7500, 0.5000, 0.5000]]}